w) Density functional theory data (GGA-PBE) for a relaxed Re2H2Ru crystal.

abc: 6.0350 6.0350 2.8074
angles: 90.00 90.00 90.00
Atoms (fractional coordinates):
Re 0.1383 0.3617 0.0000
Re 0.3617 0.8617 0.0000
Re 0.6383 0.1383 0.0000
Re 0.8617 0.6383 0.0000
H 0.2029 0.7029 0.5000
H 0.2971 0.2029 0.5000
H 0.7029 0.7971 0.5000
H 0.7971 0.2971 0.5000
Ru 0.0000 0.0000 0.5000
Ru 0.5000 0.5000 0.5000

Output
As for the crystal system: tetragonal. As for the symmetry: No. 127. The value obtained for the volume is 102 Å³/cell.


x) Density functional theory data (GGA-PBE) for a relaxed Re2H2Ru crystal.

abc: 2.8695 2.8695 11.9994
angles: 90.00 90.00 90.00
Atoms (fractional coordinates):
Re 0.0000 0.0000 0.1509
Re 0.0000 0.0000 0.8491
Re 0.5000 0.5000 0.3491
Re 0.5000 0.5000 0.6509
H 0.0000 0.5000 0.2500
H 0.0000 0.5000 0.7500
H 0.5000 0.0000 0.2500
H 0.5000 0.0000 0.7500
Ru 0.0000 0.0000 0.5000
Ru 0.5000 0.5000 0.0000

Output
As for the crystal system: tetragonal. As for the symmetry: No. 139. The value obtained for the volume is 99 Å³/cell.


Most stable structure, least stable structure: x), w).